Record 1
# PrNpAl2O8

A geometry-optimized PrNpAl2O8 structure (PBE, Alexandria).

Values from the calculation:
**Crystal system**: monoclinic

The structure in CIF format:
```
data_PrNpAl2O8
_chemical_formula_sum 'Pr1 Np1 Al2 O8'
_symmetry_space_group_name_H-M 'P 1 2/m 1'
_symmetry_Int_Tables_number 10
_cell_length_a 4.763
_cell_length_b 7.395
_cell_length_c 4.772
_cell_angle_alpha 90.00
_cell_angle_beta 101.48
_cell_angle_gamma 90.00
loop_
_symmetry_equiv_pos_as_xyz
'x,y,z'
'-x,-y,-z'
'-x,y,-z'
'x,-y,z'
loop_
_atom_site_label
_atom_site_fract_x
_atom_site_fract_y
_atom_site_fract_z
Pr1 0.000 0.000 0.000
Np1 0.000 0.500 0.000
Al1 0.500 0.180 0.500
O1 0.230 0.273 0.231
O2 0.246 0.500 0.755
O3 0.331 0.000 0.670
```

=====

Record 2
# NpAlPtO6

A geometry-optimized NpAlPtO6 structure (PBE, Alexandria).

Values from the calculation:
**Crystal system**: trigonal

The structure in CIF format:
```
data_NpAlPtO6
_chemical_formula_sum 'Np2 Al2 Pt2 O12'
_symmetry_space_group_name_H-M 'P -3 1 c'
_symmetry_Int_Tables_number 163
_symmetry_space_group_name_Hall '-P 3 2c'
_cell_length_a 5.2191
_cell_length_b 5.2191
_cell_length_c 8.7315
_cell_angle_alpha 90.00
_cell_angle_beta 90.00
_cell_angle_gamma 120.00
loop_
_atom_site_label
_atom_site_fract_x
_atom_site_fract_y
_atom_site_fract_z
Np1 0.3333 0.6667 0.2500
Al1 0.3333 0.6667 0.7500
Pt1 0.0000 0.0000 0.0000
O1 0.0242 0.3518 0.6294
```

=====

Record 3
# PuNpAlO6

A geometry-optimized PuNpAlO6 structure (PBE, Alexandria).

Values from the calculation:
**Crystal system**: trigonal

The structure in CIF format:
```
data_PuNpAlO6
_chemical_formula_sum 'Pu2 Np2 Al2 O12'
_symmetry_space_group_name_H-M 'P -3 1 c'
_symmetry_Int_Tables_number 163
_symmetry_space_group_name_Hall '-P 3 2c'
_cell_length_a 5.2775
_cell_length_b 5.2775
_cell_length_c 9.8098
_cell_angle_alpha 90.00
_cell_angle_beta 90.00
_cell_angle_gamma 120.00
loop_
_atom_site_label
_atom_site_fract_x
_atom_site_fract_y
_atom_site_fract_z
Pu1 0.0000 0.0000 0.0000
Np1 0.3333 0.6667 0.2500
Al1 0.3333 0.6667 0.7500
O1 0.0249 0.3634 0.6393
```

=====

Record 4
# RbNpAlO4

A geometry-optimized RbNpAlO4 structure (PBE, Alexandria).

Values from the calculation:
**Crystal system**: orthorhombic

The structure in CIF format:
```
data_RbNpAlO4
_chemical_formula_sum 'Rb4 Np4 Al4 O16'
_symmetry_space_group_name_H-M 'C m c m'
_symmetry_Int_Tables_number 63
_symmetry_space_group_name_Hall '-C 2c 2'
_cell_length_a 7.080
_cell_length_b 10.532
_cell_length_c 7.120
_cell_angle_alpha 90.00
_cell_angle_beta 90.00
_cell_angle_gamma 90.00
loop_
_atom_site_label
_atom_site_fract_x
_atom_site_fract_y
_atom_site_fract_z
Rb1 0.000 0.000 0.000
Np1 0.000 0.344 0.250
Al1 0.000 0.380 0.750
O1 0.000 0.291 0.539
O2 0.184 0.500 0.250
```

=====

Record 5
# RbNpAl2O6

A geometry-optimized RbNpAl2O6 structure (PBE, Alexandria).

Values from the calculation:
**Crystal system**: monoclinic

The structure in CIF format:
```
data_RbNpAl2O6
_chemical_formula_sum 'Rb4 Np4 Al8 O24'
_symmetry_space_group_name_H-M 'C 1 2/c 1'
_symmetry_Int_Tables_number 15
_cell_length_a 10.574
_cell_length_b 10.572
_cell_length_c 6.015
_cell_angle_alpha 90.00
_cell_angle_beta 106.83
_cell_angle_gamma 90.00
loop_
_symmetry_equiv_pos_as_xyz
'x,y,z'
'-x,-y,-z'
'-x,y,-z+1/2'
'x,-y,z+1/2'
'x+1/2,y+1/2,z'
'-x+1/2,-y+1/2,-z'
'-x+1/2,y+1/2,-z+1/2'
'x+1/2,-y+1/2,z+1/2'
loop_
_atom_site_label
_atom_site_fract_x
_atom_site_fract_y
_atom_site_fract_z
Rb1 0.000 0.088 0.250
Np1 0.000 0.300 0.750
Al1 0.210 0.420 0.160
O1 0.078 0.306 0.091
O2 0.136 0.153 0.722
O3 0.179 0.466 0.857
```

=====

Record 6
# RbNpAlO6

A geometry-optimized RbNpAlO6 structure (PBE, Alexandria).

Values from the calculation:
**Crystal system**: trigonal

The structure in CIF format:
```
data_RbNpAlO6
_chemical_formula_sum 'Rb1 Np1 Al1 O6'
_symmetry_space_group_name_H-M 'P 3 1 2'
_symmetry_Int_Tables_number 149
_cell_length_a 5.2602
_cell_length_b 5.2602
_cell_length_c 6.4074
_cell_angle_alpha 90.00
_cell_angle_beta 90.00
_cell_angle_gamma 120.00
loop_
_symmetry_equiv_pos_as_xyz
'x,y,z'
'-y,x-y,z'
'-x+y,-x,z'
'-y,-x,-z'
'-x+y,y,-z'
'x,x-y,-z'
loop_
_atom_site_label
_atom_site_fract_x
_atom_site_fract_y
_atom_site_fract_z
Rb1 0.0000 0.0000 0.0000
Np1 0.6667 0.3333 0.5000
Al1 0.3333 0.6667 0.5000
O1 0.0117 0.3850 0.6677
```

=====

Record 7
# NpAlSbO6

A geometry-optimized NpAlSbO6 structure (PBE, Alexandria).

Values from the calculation:
**Crystal system**: trigonal

The structure in CIF format:
```
data_NpAlSbO6
_chemical_formula_sum 'Np2 Al2 Sb2 O12'
_symmetry_space_group_name_H-M 'P -3 1 c'
_symmetry_Int_Tables_number 163
_symmetry_space_group_name_Hall '-P 3 2c'
_cell_length_a 5.2847
_cell_length_b 5.2847
_cell_length_c 9.7360
_cell_angle_alpha 90.00
_cell_angle_beta 90.00
_cell_angle_gamma 120.00
loop_
_atom_site_label
_atom_site_fract_x
_atom_site_fract_y
_atom_site_fract_z
Np1 0.3333 0.6667 0.2500
Al1 0.3333 0.6667 0.7500
Sb1 0.0000 0.0000 0.0000
O1 0.0195 0.3662 0.6397
```

=====

Record 8
# NpScAl2O8

A geometry-optimized NpScAl2O8 structure (PBE, Alexandria).

Values from the calculation:
**Crystal system**: tetragonal

The structure in CIF format:
```
data_NpScAl2O8
_chemical_formula_sum 'Np2 Sc2 Al4 O16'
_symmetry_space_group_name_H-M 'I -4 m 2'
_symmetry_Int_Tables_number 119
_symmetry_space_group_name_Hall 'I -4 -2'
_cell_length_a 6.668
_cell_length_b 6.668
_cell_length_c 6.408
_cell_angle_alpha 90.00
_cell_angle_beta 90.00
_cell_angle_gamma 90.00
loop_
_atom_site_label
_atom_site_fract_x
_atom_site_fract_y
_atom_site_fract_z
Np1 0.000 0.000 0.000
Sc1 0.000 0.500 0.750
Al1 0.000 0.000 0.500
Al2 0.000 0.500 0.250
O1 0.000 0.188 0.693
O2 0.000 0.305 0.064
```

=====

Record 9
# NpAlSi2O8

A geometry-optimized NpAlSi2O8 structure (PBE, Alexandria).

Values from the calculation:
**Crystal system**: tetragonal

The structure in CIF format:
```
data_NpAlSi2O8
_chemical_formula_sum 'Np2 Al2 Si4 O16'
_symmetry_space_group_name_H-M 'I -4 m 2'
_symmetry_Int_Tables_number 119
_symmetry_space_group_name_Hall 'I -4 -2'
_cell_length_a 6.546
_cell_length_b 6.546
_cell_length_c 6.145
_cell_angle_alpha 90.00
_cell_angle_beta 90.00
_cell_angle_gamma 90.00
loop_
_atom_site_label
_atom_site_fract_x
_atom_site_fract_y
_atom_site_fract_z
Np1 0.000 0.000 0.000
Al1 0.000 0.500 0.750
Si1 0.000 0.000 0.500
Si2 0.000 0.500 0.250
O1 0.000 0.197 0.672
O2 0.000 0.318 0.070
```

=====

Record 10
# SmNpAlO6

A geometry-optimized SmNpAlO6 structure (PBE, Alexandria).

Values from the calculation:
**Crystal system**: trigonal

The structure in CIF format:
```
data_SmNpAlO6
_chemical_formula_sum 'Sm2 Np2 Al2 O12'
_symmetry_space_group_name_H-M 'P -3 1 c'
_symmetry_Int_Tables_number 163
_symmetry_space_group_name_Hall '-P 3 2c'
_cell_length_a 5.2667
_cell_length_b 5.2667
_cell_length_c 10.0950
_cell_angle_alpha 90.00
_cell_angle_beta 90.00
_cell_angle_gamma 120.00
loop_
_atom_site_label
_atom_site_fract_x
_atom_site_fract_y
_atom_site_fract_z
Sm1 0.0000 0.0000 0.0000
Np1 0.3333 0.6667 0.2500
Al1 0.3333 0.6667 0.7500
O1 0.0192 0.3687 0.6425
```

=====

Record 11
# SrNpAlO5

A geometry-optimized SrNpAlO5 structure (PBE, Alexandria).

Values from the calculation:
**Crystal system**: monoclinic

The structure in CIF format:
```
data_SrNpAlO5
_chemical_formula_sum 'Sr4 Np4 Al4 O20'
_symmetry_space_group_name_H-M 'C 1 2/c 1'
_symmetry_Int_Tables_number 15
_cell_length_a 7.117
_cell_length_b 9.540
_cell_length_c 7.841
_cell_angle_alpha 90.00
_cell_angle_beta 114.00
_cell_angle_gamma 90.00
loop_
_symmetry_equiv_pos_as_xyz
'x,y,z'
'-x,-y,-z'
'-x,y,-z+1/2'
'x,-y,z+1/2'
'x+1/2,y+1/2,z'
'-x+1/2,-y+1/2,-z'
'-x+1/2,y+1/2,-z+1/2'
'x+1/2,-y+1/2,z+1/2'
loop_
_atom_site_label
_atom_site_fract_x
_atom_site_fract_y
_atom_site_fract_z
Sr1 0.000 0.164 0.250
Np1 0.000 0.500 0.000
Al1 0.000 0.185 0.750
O1 0.000 0.421 0.250
O2 0.101 0.291 0.618
O3 0.185 0.063 0.903
```

=====

Record 12
# Sr3NpAl2O9

A geometry-optimized Sr3NpAl2O9 structure (PBE, Alexandria).

Values from the calculation:
**Crystal system**: trigonal

The structure in CIF format:
```
data_Sr3NpAl2O9
_chemical_formula_sum 'Sr3 Np1 Al2 O9'
_symmetry_space_group_name_H-M 'P -3 m 1'
_symmetry_Int_Tables_number 164
_symmetry_space_group_name_Hall '-P 3 2"'
_cell_length_a 5.5783
_cell_length_b 5.5783
_cell_length_c 6.9624
_cell_angle_alpha 90.00
_cell_angle_beta 90.00
_cell_angle_gamma 120.00
loop_
_atom_site_label
_atom_site_fract_x
_atom_site_fract_y
_atom_site_fract_z
Sr1 0.0000 0.0000 0.0000
Sr2 0.3333 0.6667 0.6994
Np1 0.0000 0.0000 0.5000
Al1 0.3333 0.6667 0.1438
O1 0.0000 0.5000 0.0000
O2 0.1722 0.3445 0.3243
```

=====

It is found that the theoretical density values, taken in the order of the records, are 5.6; 8.9; 8.5; 5.2; 4.9; 4.8; 6.8; 5.4; 5.7; 7.0; 5.9; 6.2 Mg/m³.
It is found that the formation energy from raw total energies values, taken in the order of the records, are -2.79; -1.97; -2.89; -2.46; -2.69; -2.26; -2.30; -2.74; -2.62; -3.01; -3.01; -2.97 eV per atom.